Record 1
DFT (PBE) results for crystalline Ru4Pt2Rh3 at its relaxed geometry.

The structure in CIF format:
```
data_Ru4Pt2Rh3
_symmetry_space_group_name_H-M 'P 1'
_symmetry_Int_Tables_number 1
_cell_length_a 6.1158
_cell_length_b 6.1158
_cell_length_c 6.1069
_cell_angle_alpha 107.56
_cell_angle_beta 107.56
_cell_angle_gamma 36.63
loop_
_symmetry_equiv_pos_as_xyz
'x,y,z'
loop_
_atom_site_label
_atom_site_type_symbol
_atom_site_fract_x
_atom_site_fract_y
_atom_site_fract_z
_atom_site_occupancy
Ru1 Ru 0.1093 0.1093 0.1739 1
Ru2 Ru 0.3311 0.3311 0.5032 1
Ru3 Ru 0.6689 0.6689 0.4968 1
Ru4 Ru 0.8907 0.8907 0.8261 1
Pt1 Pt 0.2231 0.2231 0.8304 1
Pt2 Pt 0.7769 0.7769 0.1696 1
Rh1 Rh 0.0000 0.0000 0.5000 1
Rh2 Rh 0.4501 0.4501 0.1717 1
Rh3 Rh 0.5499 0.5499 0.8283 1
```

E_form, eV/atom: 0.00
N(E_F), states/eV per atom: 0.9334
Crystal system: monoclinic

=====

Record 2
DFT (PBE) results for crystalline NbAg at its relaxed geometry.

The structure in CIF format:
```
data_NbAg
_symmetry_space_group_name_H-M 'P 1'
_symmetry_Int_Tables_number 1
_cell_length_a 4.2408
_cell_length_b 4.2408
_cell_length_c 4.2408
_cell_angle_alpha 60.00
_cell_angle_beta 60.00
_cell_angle_gamma 60.00
loop_
_symmetry_equiv_pos_as_xyz
'x,y,z'
loop_
_atom_site_label
_atom_site_type_symbol
_atom_site_fract_x
_atom_site_fract_y
_atom_site_fract_z
_atom_site_occupancy
Nb1 Nb 0.0000 0.0000 0.0000 1
Ag1 Ag 0.7500 0.7500 0.7500 1
```

E_form, eV/atom: 1.98
N(E_F), states/eV per atom: 1.9867
Crystal system: cubic

=====

Record 3
DFT (PBE) results for crystalline Sr2MgPdN at its relaxed geometry.

The structure in CIF format:
```
data_Sr2MgPdN
_symmetry_space_group_name_H-M 'P 1'
_symmetry_Int_Tables_number 1
_cell_length_a 5.2887
_cell_length_b 5.2887
_cell_length_c 4.1448
_cell_angle_alpha 90.00
_cell_angle_beta 90.00
_cell_angle_gamma 90.00
loop_
_symmetry_equiv_pos_as_xyz
'x,y,z'
loop_
_atom_site_label
_atom_site_type_symbol
_atom_site_fract_x
_atom_site_fract_y
_atom_site_fract_z
_atom_site_occupancy
Sr1 Sr 0.0000 0.5000 0.0000 1
Sr2 Sr 0.5000 0.0000 0.0000 1
Mg1 Mg 0.0000 0.0000 0.5000 1
Pd1 Pd 0.5000 0.5000 0.5000 1
N1 N 0.0000 0.0000 0.0000 1
```

Formation energy (no corrections), eV/atom: -0.505
N(E_F), states/eV per atom: 0.3793
Crystal system: tetragonal